Material: Ho3SnAs2Rh9
Method: DFT, PBE
State: optimized geometry

Computed properties:
The value obtained for the formation energy is -411 meV/atom. The space group is P-3m1 (164). For the volume, the calculation gives 20.082 A^3/atom.

```
15
Lattice="5.628 0.000 0.000 -2.814 4.874 0.000 0.000 0.000 10.983" Properties=species:S:1:pos:R:3 pbc="T T T"
Rh 1.445 4.083 3.434
Rh 0.000 1.580 3.434
Rh 2.814 3.293 7.548
Rh -1.407 2.437 0.000
Rh 2.814 0.000 0.000
Rh 4.259 0.790 7.548
Rh 1.407 2.437 0.000
Rh 1.369 0.790 7.548
Rh -1.445 4.083 3.434
Ho 2.814 1.625 4.521
Ho 0.000 3.249 6.462
Ho 0.000 0.000 0.000
As 2.814 1.625 9.223
As 0.000 3.249 1.759
Sn 0.000 0.000 5.491
```

---

Material: SrHoAs2Rh5
Method: DFT, PBE
State: optimized geometry

Computed properties:
The value obtained for the formation energy is -471 meV/atom. The space group is P4/mmm (123). For the volume, the calculation gives 21.027 A^3/atom.

```
9
Lattice="-0.508 -3.422 -2.168 1.436 -2.195 3.129 -10.532 -1.037 4.106" Properties=species:S:1:pos:R:3 pbc="T T T"
As -2.607 -3.111 1.677
As -6.998 -3.543 3.389
Rh -1.173 -1.284 2.302
Rh -2.145 -1.897 -0.347
Rh -8.896 -2.562 2.285
Rh -4.802 -3.327 2.533
Rh -7.924 -1.948 4.933
Ho 0.000 0.000 0.000
Sr -5.266 -0.518 2.053
```

---

Material: Ho3TeAs2Rh9
Method: DFT, PBE
State: optimized geometry

Computed properties:
The space group is P-3m1 (164). For the volume, the calculation gives 20.887 A^3/atom. Its uncorrected formation energy is -453 meV/atom.

```
15
Lattice="6.235 0.000 0.000 -3.118 5.400 0.000 0.000 0.000 9.306" Properties=species:S:1:pos:R:3 pbc="T T T"
As 0.000 3.600 1.579
As 3.118 1.800 7.726
Rh 0.000 1.546 2.550
Rh 1.339 0.773 6.756
Rh 1.779 4.627 2.550
Rh -1.559 2.700 0.000
Rh 4.896 0.773 6.756
Rh 3.118 0.000 0.000
Rh 3.118 3.854 6.756
Rh -1.779 4.627 2.550
Rh 1.559 2.700 0.000
Ho 0.000 3.600 6.982
Ho 3.118 1.800 2.324
Ho 0.000 0.000 0.000
Te 0.000 0.000 4.653
```

---

Material: HoTh2As2Rh7
Method: DFT, PBE
State: optimized geometry

Computed properties:
The value obtained for the formation energy is -813 meV/atom. The space group is C2/m (12). For the volume, the calculation gives 18.462 A^3/atom.

```
12
Lattice="4.081 0.016 -0.092 0.020 4.081 -0.092 1.691 1.689 13.228" Properties=species:S:1:pos:R:3 pbc="T T T"
Th 1.562 1.560 8.603
Th 4.231 4.226 4.441
Ho 0.000 0.000 0.000
As 3.660 3.656 9.766
As 2.133 2.130 3.278
Rh 4.142 2.103 1.944
Rh 3.678 3.673 7.327
Rh 3.685 1.646 11.100
Rh 2.115 2.112 5.717
Rh 2.051 2.048 -0.092
Rh 2.108 4.140 1.944
Rh 1.650 3.683 11.100
```

---

Material: HoZnAs2Rh5
Method: DFT, PBE
State: optimized geometry

Computed properties:
The value obtained for the formation energy is -550 meV/atom. The space group is P4/mmm (123). For the volume, the calculation gives 16.173 A^3/atom.

```
9
Lattice="-1.075 3.975 0.430 -3.815 -1.153 1.121 2.453 -0.215 8.126" Properties=species:S:1:pos:R:3 pbc="T T T"
Rh 0.170 1.926 2.559
Rh 1.208 1.835 5.997
Rh -1.200 -0.638 2.904
Rh -1.218 1.304 4.838
Rh -0.162 -0.729 6.343
Ho 0.000 0.000 0.000
As -2.086 1.380 1.964
As -0.350 1.228 7.713
Zn 1.227 -0.107 4.063
```

---

Material: Ho3ZnAs2Rh9
Method: DFT, PBE
State: optimized geometry

Computed properties:
The value obtained for the formation energy is -359 meV/atom. The space group is P-3m1 (164). For the volume, the calculation gives 20.313 A^3/atom.

```
15
Lattice="6.229 0.000 0.000 -3.114 5.394 0.000 0.000 0.000 9.069" Properties=species:S:1:pos:R:3 pbc="T T T"
Rh 1.308 0.755 6.602
Rh 3.114 3.884 6.602
Rh 3.114 0.000 0.000
Rh 1.557 2.697 0.000
Rh 0.000 1.510 2.467
Rh -1.557 2.697 0.000
Rh 1.806 4.639 2.467
Rh 4.921 0.755 6.602
Rh -1.806 4.639 2.467
Ho 0.000 3.596 6.639
Ho 3.114 1.798 2.430
Ho 0.000 0.000 0.000
As 0.000 3.596 1.589
As 3.114 1.798 7.480
Zn 0.000 0.000 4.534
```

---

Material: Ho2As7Ru12
Method: DFT, PBE
State: optimized geometry

Computed properties:
The value obtained for the formation energy is -419 meV/atom. The space group is P-6 (174). For the volume, the calculation gives 15.762 A^3/atom.

```
21
Lattice="4.017 0.000 0.000 0.000 8.448 -4.877 0.000 0.000 9.755" Properties=species:S:1:pos:R:3 pbc="T T T"
Ho 0.000 5.632 0.000
Ho 2.008 0.000 0.000
Ru 0.000 2.300 -1.012
Ru 2.008 6.088 -2.481
Ru 0.000 8.175 -2.380
Ru 2.008 3.256 0.845
Ru 2.008 7.552 1.635
Ru 2.008 1.824 3.398
Ru 2.008 4.593 4.758
Ru 0.000 3.790 2.755
Ru 0.000 0.491 5.095
Ru 2.008 2.031 6.476
Ru 0.000 6.422 3.392
Ru 0.000 4.167 6.782
As 2.008 5.237 2.344
As 0.000 2.816 4.877
As 2.008 3.799 -1.514
As 0.000 1.818 1.360
As 0.000 6.361 5.772
As 0.000 0.269 7.501
As 2.008 7.860 -0.830
```

---

Material: HoAs2Ru
Method: DFT, PBE
State: optimized geometry

Computed properties:
The value obtained for the formation energy is -714 meV/atom. The space group is R-3m (166). For the volume, the calculation gives 19.166 A^3/atom.

```
4
Lattice="3.985 0.000 0.000 1.993 3.451 0.000 1.993 1.150 5.574" Properties=species:S:1:pos:R:3 pbc="T T T"
Ho 3.985 2.301 2.787
Ru 0.000 0.000 0.000
As 5.978 3.451 4.480
As 1.993 1.150 1.094
```

---

Material: HoAs12Ru4
Method: DFT, PBE
State: optimized geometry

Computed properties:
The value obtained for the formation energy is -420 meV/atom. The space group is Im-3 (204). For the volume, the calculation gives 18.589 A^3/atom.

```
17
Lattice="7.007 0.000 -2.477 -3.503 6.068 -2.477 0.000 0.000 7.432" Properties=species:S:1:pos:R:3 pbc="T T T"
Ho 0.000 0.000 0.000
As 2.962 0.905 0.986
As 4.742 2.113 -1.491
As 5.090 0.905 2.490
As 1.742 1.208 4.968
As 1.761 4.860 -2.490
As 3.678 3.955 0.013
As -1.238 3.955 3.968
As 0.697 3.018 -0.986
As 0.541 5.163 1.491
As -0.175 2.113 2.464
As -1.586 5.163 -0.013
As 2.806 3.050 3.464
Ru 0.000 0.000 3.716
Ru 1.752 3.034 1.239
Ru 3.503 0.000 -1.239
Ru -1.752 3.034 -1.239
```

---

Material: Ho3As2S
Method: DFT, PBE
State: optimized geometry

Computed properties:
The space group is Immm (71). For the volume, the calculation gives 23.205 A^3/atom. Its uncorrected formation energy is -1717 meV/atom.

```
6
Lattice="4.041 0.000 0.000 0.000 5.714 0.000 -2.021 -2.857 6.030" Properties=species:S:1:pos:R:3 pbc="T T T"
Ho 3.031 1.428 1.014
Ho 1.010 -1.428 3.015
Ho -1.010 1.428 5.015
As -1.010 -1.428 5.028
As 3.031 4.285 1.001
S 1.010 1.428 3.015
```

---

Material: Ho3As5S12
Method: DFT, PBE
State: optimized geometry

Computed properties:
The space group is Ia-3d (230). For the volume, the calculation gives 23.243 A^3/atom. Its uncorrected formation energy is -677 meV/atom.

```
80
Lattice="-12.250 0.662 -5.433 -0.684 -6.316 11.818 4.758 12.411 1.831" Properties=species:S:1:pos:R:3 pbc="T T T"
S -9.145 2.119 5.836
S -4.670 2.683 9.332
S -8.654 4.438 -0.513
S -2.702 -3.070 6.917
S -3.786 8.084 5.199
S -2.578 0.438 8.253
S -8.068 5.114 6.246
S -1.425 3.944 10.740
S -6.179 0.643 -0.169
S -3.507 4.074 -1.116
S -2.519 5.185 3.177
S 1.246 8.467 1.358
S -1.083 -4.092 10.600
S -6.692 8.205 3.844
S -8.287 7.896 -2.778
S -7.094 10.849 -2.384
S 2.433 4.912 8.545
S 0.000 4.556 6.415
S -5.475 9.827 1.299
S -10.610 1.846 -0.329
S -8.644 0.182 -2.242
S -0.109 1.643 1.970
S 0.110 -1.139 10.994
S -1.998 6.114 8.385
S 0.968 4.638 2.380
S -5.627 -2.840 5.618
S -1.485 -1.448 4.373
S -9.423 -1.710 6.858
S -5.599 6.320 -0.037
S -6.752 2.813 -2.524
S -11.301 -0.956 2.074
S -2.550 9.597 2.598
S -4.436 4.202 6.515
S -8.177 2.201 1.801
S -8.345 -1.080 3.317
S 3.124 7.714 6.142
S -10.566 -4.665 6.350
S -4.391 -1.327 3.017
S -3.741 2.556 1.701
S -5.777 0.012 7.841
S -5.737 4.868 2.821
S -2.400 6.745 0.376
S 2.389 11.422 1.866
S 0.467 6.576 10.458
S 0.477 2.319 8.729
S -2.440 1.890 5.395
S 0.168 7.838 4.900
S -5.658 1.573 5.039
Ho -8.850 -0.320 0.586
Ho 1.438 3.864 11.035
Ho -10.637 -2.606 4.338
Ho -9.615 2.893 -2.819
Ho -2.134 3.268 7.971
Ho 2.461 9.363 3.878
Ho -1.364 4.030 0.806
Ho -4.345 7.354 2.409
Ho 0.673 7.078 7.630
Ho -6.813 2.727 7.410
Ho -3.832 -0.597 5.807
Ho -6.043 3.489 0.246
As -0.260 0.000 8.871
As -0.346 5.554 4.218
As -5.110 10.567 -0.995
As -0.598 0.817 4.210
As -1.111 8.767 0.813
As -6.467 -2.827 3.192
As -3.746 6.537 -1.801
As -4.007 6.537 7.070
As -6.125 0.331 -2.717
As -3.067 -3.810 9.211
As -7.917 6.758 -0.655
As 2.037 3.047 6.825
As -7.066 -2.010 7.403
As -4.088 3.379 4.108
As 0.000 0.000 0.000
As -7.831 1.203 3.998
As 2.379 6.206 0.916
As -0.342 -3.158 5.909
As -4.170 0.221 1.146
As -7.578 5.940 4.006
```

---

Material: HoAsS
Method: DFT, PBE
State: optimized geometry

Computed properties:
The space group is Pnma (62). For the volume, the calculation gives 20.967 A^3/atom. Its uncorrected formation energy is -1464 meV/atom.

```
12
Lattice="-0.090 3.680 0.776 -3.018 -1.374 6.172 8.610 -0.647 4.066" Properties=species:S:1:pos:R:3 pbc="T T T"
S 0.058 2.086 3.794
S 5.404 0.376 3.402
S 5.444 -0.427 7.220
S 0.098 1.283 7.612
Ho -0.765 -0.156 5.216
Ho 3.237 1.243 8.165
Ho 6.268 1.815 5.798
Ho 2.266 0.416 2.849
As 3.401 1.868 5.216
As 5.490 0.911 10.001
As 2.101 -0.209 5.799
As 0.012 0.748 1.013
```

---

Material: Ho6As5S
Method: DFT, PBE
State: optimized geometry

Computed properties:
The space group is C2/m (12). For the volume, the calculation gives 23.803 A^3/atom. Its uncorrected formation energy is -1635 meV/atom.

```
12
Lattice="-1.470 2.442 -6.447 -5.911 3.828 0.233 0.332 6.921 1.263" Properties=species:S:1:pos:R:3 pbc="T T T"
As -3.691 3.135 -3.107
As -5.550 6.719 -2.608
As -1.859 3.584 0.499
As -1.500 6.472 -2.343
As -3.721 7.165 0.997
Ho -3.706 5.150 -1.055
Ho -1.844 1.568 -1.561
Ho -1.484 4.456 -4.396
Ho -3.343 8.041 -3.896
Ho -5.565 8.735 -0.556
Ho -5.537 4.702 -4.654
S 0.000 0.000 0.000
```

---

Material: Ho2AsS4
Method: DFT, PBE
State: optimized geometry

Computed properties:
The space group is I4/mmm (139). For the volume, the calculation gives 21.366 A^3/atom. Its uncorrected formation energy is -1154 meV/atom.

```
7
Lattice="-3.587 -5.131 1.786 3.556 -0.599 5.421 -2.210 5.013 -1.906" Properties=species:S:1:pos:R:3 pbc="T T T"
S -0.025 -4.378 5.507
S -4.112 0.951 0.738
S -0.008 -1.352 1.701
S -0.340 3.344 2.657
Ho -2.907 -1.492 1.742
Ho 0.665 0.774 3.559
As -0.016 -2.865 3.603
```

---

Material: Ho3AsS3
Method: DFT, PBE
State: optimized geometry

Computed properties:
The space group is R-3 (148). For the volume, the calculation gives 24.915 A^3/atom. Its uncorrected formation energy is -1785 meV/atom.

```
14
Lattice="-6.072 -4.928 0.711 -1.959 -2.824 7.061 -6.687 2.490 3.507" Properties=species:S:1:pos:R:3 pbc="T T T"
Ho -6.778 -0.521 7.652
Ho -7.993 -0.722 3.450
Ho -4.530 -2.259 4.804
Ho -10.188 -3.003 6.476
Ho -6.725 -4.540 7.829
Ho -7.940 -4.741 3.627
S -8.390 -2.494 8.477
S -6.328 -2.767 2.802
S -4.935 -2.504 7.440
S -9.783 -2.758 3.840
S -8.719 -5.271 6.198
S -5.998 0.009 5.081
As -2.680 -2.580 2.591
As -12.038 -2.682 8.688
```

---

Material: Ho3AsS6
Method: DFT, PBE
State: optimized geometry

Computed properties:
The space group is Cmc2_1 (36). For the volume, the calculation gives 23.101 A^3/atom. Its uncorrected formation energy is -1540 meV/atom.

```
20
Lattice="6.643 0.000 0.000 0.000 8.445 0.010 0.000 -1.875 8.234" Properties=species:S:1:pos:R:3 pbc="T T T"
S 1.231 4.658 5.247
S 1.219 1.872 7.416
S 1.624 -1.731 8.119
S 4.946 8.301 0.125
S 4.541 4.698 0.828
S 4.552 1.912 2.997
S 1.219 -0.241 4.765
S 1.231 2.495 2.532
S 4.552 4.075 5.712
S 4.239 0.515 6.329
S 0.918 6.055 1.914
S 4.541 6.811 3.479
Ho 2.595 2.282 4.921
Ho 6.535 4.333 7.559
Ho 3.214 6.401 5.911
Ho 5.917 4.288 3.323
Ho 6.535 0.168 2.333
Ho 3.214 2.237 0.685
As 3.368 6.601 1.479
As 0.046 -0.031 6.765
```

---

Material: HoAsS
Method: DFT, PBE
State: optimized geometry

Computed properties:
The space group is P4/nmm (129). For the volume, the calculation gives 20.582 A^3/atom. Its uncorrected formation energy is -1544 meV/atom.

```
6
Lattice="3.813 0.000 0.000 0.000 3.813 0.000 0.000 0.000 8.496" Properties=species:S:1:pos:R:3 pbc="T T T"
Ho 2.859 2.859 6.021
Ho 0.953 0.953 2.475
As 0.953 2.859 0.000
As 2.859 0.953 0.000
S 2.859 2.859 3.181
S 0.953 0.953 5.315
```

---

Material: HoAsS
Method: DFT, PBE
State: optimized geometry

Computed properties:
The space group is I4/mmm (139). For the volume, the calculation gives 20.639 A^3/atom. Its uncorrected formation energy is -1530 meV/atom.

```
6
Lattice="-3.441 1.525 -0.591 -0.345 -2.023 -3.210 -1.688 -6.124 6.302" Properties=species:S:1:pos:R:3 pbc="T T T"
Ho -2.942 -2.116 -0.611
Ho -2.532 -4.505 3.111
As -0.172 -1.011 -1.605
As -1.720 0.763 -0.296
S -4.131 -4.232 0.850
S -1.343 -2.390 1.650
```